Entry 1:
A relaxed CaErNO crystal. Source: Alexandria via LeMat-Bulk, functional PBE.

The value obtained for the spin magnetization is 0.00 μB/f.u. The formation energy (no corrections) comes out at -1.933 eV per atom.

It has space group Imm2 (No. 44), with a = 3.101 Å, b = 3.147 Å, c = 11.750 Å, α = 90.00°, β = 90.00° and γ = 90.00°. The asymmetric unit holds Ca at (0.000, 0.000, 0.000), Er at (0.000, 0.500, 0.253), N at (0.000, 0.500, 0.828) and O at (0.000, 0.000, 0.593).

---

Entry 2:
A relaxed Ba2TlPb2 crystal. Source: Alexandria via LeMat-Bulk, functional PBE.

The value obtained for the spin magnetization is 0.00 μB/f.u. The distance to the lowest polymorph of the same formula comes out at 212.7 meV/atom. The calculation puts the formation enthalpy at 0 K at -124 kJ/mol of formula units.

It has space group P4/mbm (No. 127), with a = 9.989 Å, b = 9.989 Å, c = 4.145 Å, α = 90.00°, β = 90.00° and γ = 90.00°. The asymmetric unit holds Ba at (0.179, 0.321, 0.000), Tl at (0.000, 0.000, 0.000) and Pb at (0.117, 0.617, 0.500).

---

Entry 3:
A relaxed LaSc2Si crystal. Source: Alexandria via LeMat-Bulk, functional PBE.

The value obtained for the spin magnetization is 0.00 μB/f.u. The formation energy (no corrections) comes out at -0.114 eV per atom.

It has space group F-43m (No. 216), with a = 7.168 Å, b = 7.168 Å, c = 7.168 Å, α = 90.00°, β = 90.00° and γ = 90.00°. The asymmetric unit holds La at (0.000, 0.000, 0.000), Sc at (0.000, 0.000, 0.500), Sc at (0.250, 0.250, 0.250) and Si at (0.250, 0.250, 0.750).

---

Entry 4:
A relaxed KH2Ir2 crystal. Source: Alexandria via LeMat-Bulk, functional PBE.

The value obtained for the spin magnetization is 0.00 μB/f.u. The distance to the lowest polymorph of the same formula comes out at 0.0 meV/atom.

It has space group I4/mmm (No. 139), with a = 3.740 Å, b = 3.740 Å, c = 11.784 Å, α = 90.00°, β = 90.00° and γ = 90.00°. The asymmetric unit holds K at (0.000, 0.000, 0.000), H at (0.000, 0.500, 0.250) and Ir at (0.000, 0.000, 0.269).

---

Entry 5:
A relaxed VIrWBr2 crystal. Source: Alexandria via LeMat-Bulk, functional PBE.

The value obtained for the spin magnetization is 4.86 μB/f.u. The formation energy (no corrections) comes out at 1.882 eV per atom.

It has space group P4/mmm (No. 123), with a = 5.014 Å, b = 5.014 Å, c = 4.774 Å, α = 90.00°, β = 90.00° and γ = 90.00°. The asymmetric unit holds V at (0.000, 0.000, 0.000), Ir at (0.000, 0.000, 0.500), W at (0.500, 0.500, 0.000) and Br at (0.000, 0.500, 0.500).

---

Entry 6:
A relaxed LiSi2Hg crystal. Source: Alexandria via LeMat-Bulk, functional PBE.

The value obtained for the spin magnetization is 0.00 μB/f.u. The formation energy (no corrections) comes out at 0.154 eV per atom.

It has space group Pmmm (No. 47), with a = 2.780 Å, b = 4.524 Å, c = 5.623 Å, α = 90.00°, β = 90.00° and γ = 90.00°. The asymmetric unit holds Li at (0.000, 0.000, 0.000), Si at (0.500, 0.500, 0.215) and Hg at (0.500, 0.000, 0.500).